<P>
Er3Tm3FeBi2: relaxed, GGA-PBE.

The structure in POSCAR format:
```
Er3Tm3FeBi2
1.0
-6.540 -4.862 1.121
7.459 -3.312 -1.027
0.613 0.116 4.076
Bi Er Fe Tm
2 3 1 3
direct
0.667 0.333 0.500
0.333 0.667 0.500
0.612 0.000 0.000
0.388 0.388 0.000
0.000 0.612 0.000
0.000 0.000 0.000
0.229 0.000 0.500
0.000 0.229 0.500
0.771 0.771 0.500
```

<Q>
Er3Tm3FeBi2: relaxed, GGA-PBE.

The structure in POSCAR format:
```
Er3Tm3FeBi2
1.0
8.235 0.000 0.000
-4.118 7.132 0.000
0.000 0.000 4.121
Bi Er Fe Tm
2 3 1 3
direct
0.667 0.333 0.500
0.333 0.667 0.500
0.230 0.000 0.500
0.000 0.230 0.500
0.770 0.770 0.500
0.000 0.000 0.000
0.612 0.000 0.000
0.388 0.388 0.000
0.000 0.612 0.000
```

Compare the structures above. Which one is the least stable? <Q> is.